## P
First-principles (PBEsol) data for crystalline Y2NiSb at its relaxed geometry, as listed in the Alexandria database.

```
data_Y2NiSb
_space_group_name_H-M_alt 'A m m 2'
_space_group_IT_number 38
_cell_length_a 4.1236
_cell_length_b 4.0866
_cell_length_c 10.9384
_cell_angle_alpha 90.00
_cell_angle_beta 90.00
_cell_angle_gamma 90.00
loop_
_space_group_symop_operation_xyz
'x,y,z'
'-x,-y,z'
'-x,y,z'
'x,-y,z'
'x,y+1/2,z+1/2'
'-x,-y+1/2,z+1/2'
'-x,y+1/2,z+1/2'
'x,-y+1/2,z+1/2'
loop_
_atom_site_label
_atom_site_type_symbol
_atom_site_fract_x
_atom_site_fract_y
_atom_site_fract_z
Y1 Y 0.0000 0.0000 0.0000
Y2 Y 0.5000 0.0000 0.2927
Ni1 Ni 0.5000 0.0000 0.5538
Sb1 Sb 0.0000 0.0000 0.7102
```

Values from the calculation:
Fermi-level density of states   0.690 states/eV per atom
Calculated density   6.45 g/cm3

---

## Q
First-principles (PBEsol) data for crystalline Y2NiSb at its relaxed geometry, as listed in the Alexandria database.

```
data_Y2NiSb
_space_group_name_H-M_alt 'I -4 m 2'
_space_group_IT_number 119
_space_group_name_Hall 'I -4 -2'
_cell_length_a 4.1674
_cell_length_b 4.1674
_cell_length_c 10.2279
_cell_angle_alpha 90.00
_cell_angle_beta 90.00
_cell_angle_gamma 90.00
loop_
_atom_site_label
_atom_site_type_symbol
_atom_site_fract_x
_atom_site_fract_y
_atom_site_fract_z
Y1 Y 0.0000 0.0000 0.0000
Y2 Y 0.0000 0.5000 0.2500
Ni1 Ni 0.0000 0.0000 0.5000
Sb1 Sb 0.0000 0.5000 0.7500
```

Values from the calculation:
Fermi-level density of states   0.891 states/eV per atom
Calculated density   6.70 g/cm3

---

Which structure loses on stability? Q does.

---

## P
First-principles (PBEsol) data for crystalline ScNiSe at its relaxed geometry, as listed in the Alexandria database.

```
data_ScNiSe
_space_group_name_H-M_alt 'I 4 m m'
_space_group_IT_number 107
_space_group_name_Hall 'I 4 -2'
_cell_length_a 3.4995
_cell_length_b 3.4995
_cell_length_c 7.8760
_cell_angle_alpha 90.00
_cell_angle_beta 90.00
_cell_angle_gamma 90.00
loop_
_atom_site_label
_atom_site_type_symbol
_atom_site_fract_x
_atom_site_fract_y
_atom_site_fract_z
Sc1 Sc 0.0000 0.0000 0.0000
Ni1 Ni 0.0000 0.0000 0.6555
Se1 Se 0.0000 0.0000 0.3465
```

Values from the calculation:
Fermi-level density of states   0.745 states/eV per atom
Calculated density   6.29 g/cm3

---

## Q
First-principles (PBEsol) data for crystalline ScNiSe at its relaxed geometry, as listed in the Alexandria database.

```
data_ScNiSe
_space_group_name_H-M_alt 'F -4 3 m'
_space_group_IT_number 216
_space_group_name_Hall 'F -4 2 3'
_cell_length_a 6.0486
_cell_length_b 6.0486
_cell_length_c 6.0486
_cell_angle_alpha 90.00
_cell_angle_beta 90.00
_cell_angle_gamma 90.00
loop_
_atom_site_label
_atom_site_type_symbol
_atom_site_fract_x
_atom_site_fract_y
_atom_site_fract_z
Sc1 Sc 0.0000 0.0000 0.0000
Ni1 Ni 0.2500 0.2500 0.7500
Se1 Se 0.2500 0.2500 0.2500
```

Values from the calculation:
Fermi-level density of states   0.638 states/eV per atom
Calculated density   5.48 g/cm3

---

Which structure loses on stability? Q does.

---

## P
First-principles (PBEsol) data for crystalline SrScNi at its relaxed geometry, as listed in the Alexandria database.

```
data_SrScNi
_space_group_name_H-M_alt 'P 3 m 1'
_space_group_IT_number 156
_cell_length_a 3.8584
_cell_length_b 3.8584
_cell_length_c 6.3008
_cell_angle_alpha 90.00
_cell_angle_beta 90.00
_cell_angle_gamma 120.00
loop_
_space_group_symop_operation_xyz
'x,y,z'
'-y,x-y,z'
'-x+y,-x,z'
'-y,-x,z'
'-x+y,y,z'
'x,x-y,z'
loop_
_atom_site_label
_atom_site_type_symbol
_atom_site_fract_x
_atom_site_fract_y
_atom_site_fract_z
Sr1 Sr 0.0000 0.0000 0.0000
Sc1 Sc 0.6667 0.3333 0.5178
Ni1 Ni 0.3333 0.6667 0.6948
```

Values from the calculation:
Fermi-level density of states   1.261 states/eV per atom
Calculated density   3.91 g/cm3

---

## Q
First-principles (PBEsol) data for crystalline SrScNi at its relaxed geometry, as listed in the Alexandria database.

```
data_SrScNi
_space_group_name_H-M_alt 'F -4 3 m'
_space_group_IT_number 216
_space_group_name_Hall 'F -4 2 3'
_cell_length_a 6.6655
_cell_length_b 6.6655
_cell_length_c 6.6655
_cell_angle_alpha 90.00
_cell_angle_beta 90.00
_cell_angle_gamma 90.00
loop_
_atom_site_label
_atom_site_type_symbol
_atom_site_fract_x
_atom_site_fract_y
_atom_site_fract_z
Sr1 Sr 0.0000 0.0000 0.0000
Sc1 Sc 0.0000 0.0000 0.5000
Ni1 Ni 0.2500 0.2500 0.7500
```

Values from the calculation:
Fermi-level density of states   1.050 states/eV per atom
Calculated density   4.29 g/cm3

---

Which structure loses on stability? Q does.

---

## P
First-principles (PBEsol) data for crystalline SrScNi2 at its relaxed geometry, as listed in the Alexandria database.

```
data_SrScNi2
_space_group_name_H-M_alt 'F -4 3 m'
_space_group_IT_number 216
_space_group_name_Hall 'F -4 2 3'
_cell_length_a 6.4624
_cell_length_b 6.4624
_cell_length_c 6.4624
_cell_angle_alpha 90.00
_cell_angle_beta 90.00
_cell_angle_gamma 90.00
loop_
_atom_site_label
_atom_site_type_symbol
_atom_site_fract_x
_atom_site_fract_y
_atom_site_fract_z
Sr1 Sr 0.0000 0.0000 0.0000
Sc1 Sc 0.2500 0.2500 0.2500
Ni1 Ni 0.0000 0.0000 0.5000
Ni2 Ni 0.2500 0.2500 0.7500
```

Values from the calculation:
Fermi-level density of states   1.378 states/eV per atom
Calculated density   6.15 g/cm3

---

## Q
First-principles (PBEsol) data for crystalline SrScNi2 at its relaxed geometry, as listed in the Alexandria database.

```
data_SrScNi2
_space_group_name_H-M_alt 'P m m m'
_space_group_IT_number 47
_cell_length_a 3.0415
_cell_length_b 4.7089
_cell_length_c 5.3290
_cell_angle_alpha 90.00
_cell_angle_beta 90.00
_cell_angle_gamma 90.00
loop_
_space_group_symop_operation_xyz
'x,y,z'
'-x,-y,-z'
'-x,-y,z'
'x,y,-z'
'x,-y,-z'
'-x,y,z'
'-x,y,-z'
'x,-y,z'
loop_
_atom_site_label
_atom_site_type_symbol
_atom_site_fract_x
_atom_site_fract_y
_atom_site_fract_z
Sr1 Sr 0.0000 0.0000 0.0000
Sc1 Sc 0.5000 0.5000 0.5000
Ni1 Ni 0.0000 0.0000 0.5000
Ni2 Ni 0.5000 0.5000 0.0000
```

Values from the calculation:
Fermi-level density of states   0.634 states/eV per atom
Calculated density   5.44 g/cm3

---

Which structure loses on stability? P does.

---

## P
First-principles (PBEsol) data for crystalline Sc2TaNi at its relaxed geometry, as listed in the Alexandria database.

```
data_Sc2TaNi
_space_group_name_H-M_alt 'C 1 m 1'
_space_group_IT_number 8
_cell_length_a 10.6457
_cell_length_b 2.9987
_cell_length_c 4.9417
_cell_angle_alpha 90.00
_cell_angle_beta 115.71
_cell_angle_gamma 90.00
loop_
_space_group_symop_operation_xyz
'x,y,z'
'x,-y,z'
'x+1/2,y+1/2,z'
'x+1/2,-y+1/2,z'
loop_
_atom_site_label
_atom_site_type_symbol
_atom_site_fract_x
_atom_site_fract_y
_atom_site_fract_z
Sc1 Sc 0.0000 0.0000 0.0000
Sc2 Sc 0.2004 0.0000 0.6456
Ta1 Ta 0.4180 0.0000 0.4257
Ni1 Ni 0.2181 0.5000 0.0861
```

Values from the calculation:
Fermi-level density of states   1.219 states/eV per atom
Calculated density   7.70 g/cm3

---

## Q
First-principles (PBEsol) data for crystalline Sc2TaNi at its relaxed geometry, as listed in the Alexandria database.

```
data_Sc2TaNi
_space_group_name_H-M_alt 'R -3 m'
_space_group_IT_number 166
_space_group_name_Hall '-R 3 2"'
_cell_length_a 2.9608
_cell_length_b 2.9608
_cell_length_c 28.6917
_cell_angle_alpha 90.00
_cell_angle_beta 90.00
_cell_angle_gamma 120.00
loop_
_atom_site_label
_atom_site_type_symbol
_atom_site_fract_x
_atom_site_fract_y
_atom_site_fract_z
Sc1 Sc 0.0000 0.0000 0.0983
Ta1 Ta 0.0000 0.0000 0.0000
Ni1 Ni 0.0000 0.0000 0.5000
```

Values from the calculation:
Fermi-level density of states   1.159 states/eV per atom
Calculated density   7.54 g/cm3

---

Which structure loses on stability? Q does.

---

## P
First-principles (PBEsol) data for crystalline Sc2TcNi at its relaxed geometry, as listed in the Alexandria database.

```
data_Sc2TcNi
_space_group_name_H-M_alt 'I m m 2'
_space_group_IT_number 44
_cell_length_a 3.2343
_cell_length_b 4.2936
_cell_length_c 9.2232
_cell_angle_alpha 90.00
_cell_angle_beta 90.00
_cell_angle_gamma 90.00
loop_
_space_group_symop_operation_xyz
'x,y,z'
'-x,-y,z'
'-x,y,z'
'x,-y,z'
'x+1/2,y+1/2,z+1/2'
'-x+1/2,-y+1/2,z+1/2'
'-x+1/2,y+1/2,z+1/2'
'x+1/2,-y+1/2,z+1/2'
loop_
_atom_site_label
_atom_site_type_symbol
_atom_site_fract_x
_atom_site_fract_y
_atom_site_fract_z
Sc1 Sc 0.0000 0.0000 0.0000
Sc2 Sc 0.0000 0.5000 0.2247
Tc1 Tc 0.0000 0.5000 0.7567
Ni1 Ni 0.0000 0.0000 0.4764
```

Values from the calculation:
Fermi-level density of states   0.914 states/eV per atom
Calculated density   6.39 g/cm3

---

## Q
First-principles (PBEsol) data for crystalline Sc2TcNi at its relaxed geometry, as listed in the Alexandria database.

```
data_Sc2TcNi
_space_group_name_H-M_alt 'F m -3 m'
_space_group_IT_number 225
_space_group_name_Hall '-F 4 2 3'
_cell_length_a 6.3031
_cell_length_b 6.3031
_cell_length_c 6.3031
_cell_angle_alpha 90.00
_cell_angle_beta 90.00
_cell_angle_gamma 90.00
loop_
_atom_site_label
_atom_site_type_symbol
_atom_site_fract_x
_atom_site_fract_y
_atom_site_fract_z
Sc1 Sc 0.2500 0.2500 0.2500
Tc1 Tc 0.0000 0.0000 0.0000
Ni1 Ni 0.0000 0.0000 0.5000
```

Values from the calculation:
Fermi-level density of states   0.607 states/eV per atom
Calculated density   6.54 g/cm3

---

Which structure loses on stability? P does.